Record 1
The following is a PBE calculation of LaZrAs2 after structural relaxation, from Alexandria.

a = 3.994 Å, b = 3.994 Å, c = 7.497 Å
α = 74.55°, β = 74.55°, γ = 60.00°
Sites, in units of the cell vectors:
La1 0.497 0.497 0.510
Zr1 0.670 0.670 0.991
As1 0.073 0.073 0.780
As2 0.261 0.261 0.218

Output
E_form   -481 kJ/mol of formula units
Excess energy over the best structure of this formula in the dataset   94 meV per atom
Crystal system   trigonal
DOS at the Fermi energy   0.70 states/eV per atom



Record 2
The following is a PBE calculation of AgMoBr2 after structural relaxation, from Alexandria.

a = 3.648 Å, b = 4.955 Å, c = 4.955 Å
α = 90.00°, β = 90.00°, γ = 90.00°
Sites, in units of the cell vectors:
Mo1 0.500 0.500 0.000
Br1 0.000 0.000 0.000
Br2 0.000 0.500 0.500
Ag1 0.500 0.000 0.500

Output
Energy relative to the elements, uncorrected   621 meV/atom
Excess energy over the best structure of this formula in the dataset   477 meV per atom
Crystal system   tetragonal
DOS at the Fermi energy   0.49 states/eV per atom



Record 3
The following is a PBE calculation of AcPr3Ho8 after structural relaxation, from Alexandria.

a = 8.579 Å, b = 8.587 Å, c = 8.579 Å
α = 95.52°, β = 136.51°, γ = 100.26°
Sites, in units of the cell vectors:
Ac1 0.162 0.000 0.162
Pr1 0.506 0.748 0.254
Pr2 0.506 0.252 0.758
Pr3 0.162 0.500 0.662
Ho1 0.502 0.333 0.169
Ho2 0.499 0.829 0.670
Ho3 0.836 0.667 0.169
Ho4 0.841 0.171 0.670
Ho5 0.166 0.422 0.249
Ho6 0.826 0.082 0.248
Ho7 0.827 0.578 0.744
Ho8 0.166 0.918 0.744

Output
E_form   40 kJ/mol of formula units
Crystal system   orthorhombic
DOS at the Fermi energy   1.87 states/eV per atom



Record 4
The following is a PBE calculation of SrTi3V after structural relaxation, from Alexandria.

a = 4.826 Å, b = 4.826 Å, c = 4.826 Å
α = 90.00°, β = 90.00°, γ = 90.00°
Sites, in units of the cell vectors:
Sr1 0.500 0.500 0.500
V1 0.000 0.000 0.000
Ti1 0.000 0.500 0.000
Ti2 0.000 0.000 0.500
Ti3 0.500 0.000 0.000

Output
E_form   306 kJ/mol of formula units
Excess energy over the best structure of this formula in the dataset   0 meV per atom
Crystal system   cubic
DOS at the Fermi energy   1.86 states/eV per atom



Record 5
The following is a PBE calculation of ZrGaAu after structural relaxation, from Alexandria.

a = 5.291 Å, b = 5.637 Å, c = 4.127 Å
α = 90.03°, β = 112.95°, γ = 90.89°
Sites, in units of the cell vectors:
Au1 0.648 0.513 0.952
Au2 0.405 0.786 0.331
Zr1 0.039 0.513 0.648
Zr2 0.814 0.020 0.035
Ga1 0.417 0.270 0.337
Ga2 0.190 0.015 0.723

Output
E_form   -138 kJ/mol of formula units
Crystal system   monoclinic
DOS at the Fermi energy   0.69 states/eV per atom



Record 6
The following is a PBE calculation of ZrCr2CoHg after structural relaxation, from Alexandria.

a = 4.682 Å, b = 5.365 Å, c = 4.682 Å
α = 90.00°, β = 90.00°, γ = 90.00°
Sites, in units of the cell vectors:
Cr1 0.000 0.000 0.500
Cr2 0.500 0.000 0.000
Co1 0.500 0.500 0.500
Hg1 0.000 0.500 0.000
Zr1 0.000 0.000 0.000

Output
E_form   962 kJ/mol of formula units
Crystal system   tetragonal
DOS at the Fermi energy   2.05 states/eV per atom



Record 7
The following is a PBE calculation of Be2MoIrPb after structural relaxation, from Alexandria.

a = 4.296 Å, b = 4.973 Å, c = 4.296 Å
α = 90.00°, β = 90.00°, γ = 90.00°
Sites, in units of the cell vectors:
Pb1 0.500 0.500 0.500
Be1 0.000 0.000 0.500
Be2 0.500 0.000 0.000
Mo1 0.000 0.500 0.000
Ir1 0.000 0.000 0.000

Output
E_form   294 kJ/mol of formula units
Crystal system   tetragonal
DOS at the Fermi energy   0.57 states/eV per atom



Record 8
The following is a PBE calculation of CaAcTm2 after structural relaxation, from Alexandria.

a = 5.396 Å, b = 5.158 Å, c = 5.158 Å
α = 90.00°, β = 90.00°, γ = 90.00°
Sites, in units of the cell vectors:
Ac1 0.500 0.500 0.500
Tm1 0.000 0.000 0.500
Tm2 0.000 0.500 0.000
Ca1 0.500 0.000 0.000

Output
E_form   58 kJ/mol of formula units
Excess energy over the best structure of this formula in the dataset   34 meV per atom
Crystal system   tetragonal
DOS at the Fermi energy   1.75 states/eV per atom